[1]
The following is a DFT calculation (PBE) of La2CdGe4Pt3 after structural relaxation.

Cell and atoms, written as CIF:
```
data_La2CdGe4Pt3
_cell_length_a 4.408
_cell_length_b 4.408
_cell_length_c 10.540
_cell_angle_alpha 90.00
_cell_angle_beta 90.00
_cell_angle_gamma 90.00
_space_group_name_H-M_alt 'P -4 m 2'
_space_group_IT_number 115
loop_
_space_group_symop_operation_xyz
'x,y,z'
'y,-x,-z'
'-x,-y,z'
'-y,x,-z'
'-x,y,z'
'-y,-x,-z'
'x,-y,z'
'y,x,-z'
loop_
_atom_site_label
_atom_site_type_symbol
_atom_site_fract_x
_atom_site_fract_y
_atom_site_fract_z
La1 La 0.000 0.500 0.244
Cd1 Cd 0.000 0.000 0.500
Ge1 Ge 0.000 0.000 0.000
Ge2 Ge 0.000 0.500 0.646
Ge3 Ge 0.500 0.500 0.000
Pt1 Pt 0.000 0.500 0.882
Pt2 Pt 0.500 0.500 0.500
```

Results
Formation energy from the elements = -856 meV/atom
Total DFT energy (no corrections) = -0.411 Ry per atom

[2]
The following is a DFT calculation (PBE) of BaPmTlCd after structural relaxation.

Cell and atoms, written as CIF:
```
data_BaPmTlCd
_cell_length_a 8.130
_cell_length_b 8.130
_cell_length_c 8.130
_cell_angle_alpha 90.00
_cell_angle_beta 90.00
_cell_angle_gamma 90.00
_space_group_name_H-M_alt 'F -4 3 m'
_space_group_IT_number 216
_space_group_name_Hall 'F -4 2 3'
loop_
_atom_site_label
_atom_site_type_symbol
_atom_site_fract_x
_atom_site_fract_y
_atom_site_fract_z
Ba1 Ba 0.000 0.000 0.000
Pm1 Pm 0.000 0.000 0.500
Tl1 Tl 0.250 0.250 0.750
Cd1 Cd 0.250 0.250 0.250
```

Results
Formation energy from the elements = -263 meV/atom
Total DFT energy (no corrections) = -0.202 Ry per atom

[3]
The following is a DFT calculation (PBE) of Tm3Sc2Bi2 after structural relaxation.

Cell and atoms, written as CIF:
```
data_Tm3Sc2Bi2
_cell_length_a 11.674
_cell_length_b 4.209
_cell_length_c 8.261
_cell_angle_alpha 90.00
_cell_angle_beta 106.18
_cell_angle_gamma 90.00
_space_group_name_H-M_alt 'C 1 2/m 1'
_space_group_IT_number 12
loop_
_space_group_symop_operation_xyz
'x,y,z'
'-x,-y,-z'
'-x,y,-z'
'x,-y,z'
'x+1/2,y+1/2,z'
'-x+1/2,-y+1/2,-z'
'-x+1/2,y+1/2,-z'
'x+1/2,-y+1/2,z'
loop_
_atom_site_label
_atom_site_type_symbol
_atom_site_fract_x
_atom_site_fract_y
_atom_site_fract_z
Tm1 Tm 0.000 0.000 0.000
Tm2 Tm 0.126 0.000 0.443
Sc1 Sc 0.113 0.500 0.753
Bi1 Bi 0.186 0.500 0.178
```

Results
Formation energy from the elements = -373 meV/atom
Total DFT energy (no corrections) = -0.383 Ry per atom